Entry 1:
Below is a relaxed Ce2SnGe2 crystal, with properties calculated at the PBE level.

POSCAR file:
```
Ce2SnGe2
1.0
7.469 0.000 0.000
0.000 7.469 0.000
0.000 0.000 4.390
Ce Sn Ge
4 2 4
direct
0.179 0.321 0.000
0.321 0.821 0.000
0.679 0.179 0.000
0.821 0.679 0.000
0.000 0.000 0.500
0.500 0.500 0.500
0.120 0.620 0.500
0.380 0.120 0.500
0.620 0.880 0.500
0.880 0.380 0.500
```

Properties
Calculated volume in A^3/atom: 24.5
Crystal system: tetragonal
Space group: No. 127
D(E_F) in states/eV/atom: 2.23

=====

Entry 2:
Below is a relaxed Ti6NbIn2 crystal, with properties calculated at the PBE level.

POSCAR file:
```
Ti6NbIn2
1.0
3.219 0.000 0.000
0.000 6.784 3.896
0.000 -6.784 3.896
Ti Nb In
6 1 2
direct
0.000 0.000 0.000
0.000 0.463 0.734
0.000 0.734 0.463
0.500 0.091 0.731
0.500 0.371 0.371
0.500 0.731 0.091
0.500 0.731 0.731
0.000 0.066 0.398
0.000 0.398 0.066
```

Properties
Calculated volume in A^3/atom: 18.9
Crystal system: orthorhombic
Space group: No. 38
D(E_F) in states/eV/atom: 1.45

=====

Entry 3:
Below is a relaxed CeDyTlCd crystal, with properties calculated at the PBE level.

POSCAR file:
```
CeDyTlCd
1.0
0.000 3.822 3.822
3.822 0.000 3.822
3.822 3.822 0.000
Ce Dy Tl Cd
1 1 1 1
direct
0.000 0.000 0.000
0.500 0.500 0.500
0.250 0.250 0.250
0.750 0.750 0.750
```

Properties
Calculated volume in A^3/atom: 27.9
Crystal system: cubic
Space group: No. 216
D(E_F) in states/eV/atom: 2.58

=====

Entry 4:
Below is a relaxed Mg2In2Pb3 crystal, with properties calculated at the PBE level.

POSCAR file:
```
Mg2In2Pb3
1.0
-4.616 4.616 4.616
4.616 -4.616 4.616
4.616 4.616 -4.616
Mg In Pb
4 4 6
direct
0.000 0.402 0.500
0.098 0.098 0.098
0.402 0.500 0.000
0.500 0.000 0.402
0.000 0.800 0.500
0.500 0.000 0.800
0.700 0.700 0.700
0.800 0.500 0.000
0.183 0.750 0.933
0.250 0.567 0.317
0.317 0.250 0.567
0.567 0.317 0.250
0.750 0.933 0.183
0.933 0.183 0.750
```

Properties
Calculated volume in A^3/atom: 28.1
Crystal system: cubic
Space group: No. 199
D(E_F) in states/eV/atom: 0.51

=====

Values for energy of formation from the pure elements, eV per atom, ordered as above
-0.677, 0.039, -0.253, 0.031